(1)
# CdSiCl2

A relaxed structure of CdSiCl2 (PBE, Alexandria via LeMat-Bulk).

M_tot (μB/cell): 0.00
Calculated volume (Å³/cell): 103
Raw formation energy (meV per atom): -65
Energy above the lowest structure with this stoichiometry (eV/atom): 0.284

abc: 3.295 3.295 9.513
angles: 90.00 90.00 90.00
Space group P4/mmm (No. 123)
Asymmetric unit:
Cd: 0.000 0.000 0.000 [1 per cell]
Si: 0.000 0.000 0.500 [1 per cell]
Cl: 0.500 0.500 0.336 [2 per cell]

(2)
# CdSi4Cl

A relaxed structure of CdSi4Cl (PBE, Alexandria via LeMat-Bulk).

M_tot (μB/cell): 0.00
Calculated volume (Å³/cell): 430
Raw formation energy (meV per atom): 456

abc: 7.550 7.550 7.550
angles: 90.00 90.00 90.00
Space group F-43m (No. 216)
Asymmetric unit:
Cd: 0.000 0.000 0.000 [4 per cell]
Si: 0.124 0.124 0.624 [16 per cell]
Cl: 0.250 0.250 0.250 [4 per cell]

(3)
# CdSiCl2

A relaxed structure of CdSiCl2 (PBE, Alexandria via LeMat-Bulk).

M_tot (μB/cell): 0.00
Calculated volume (Å³/cell): 88
Raw formation energy (meV per atom): -23
Energy above the lowest structure with this stoichiometry (eV/atom): 0.326

abc: 3.349 4.400 5.988
angles: 90.00 90.00 90.00
Space group Pmmm (No. 47)
Asymmetric unit:
Cd: 0.000 0.000 0.000 [1 per cell]
Si: 0.500 0.000 0.500 [1 per cell]
Cl: 0.000 0.500 0.500 [1 per cell]
Cl: 0.500 0.500 0.000 [1 per cell]

(4)
# CdSiCl2

A relaxed structure of CdSiCl2 (PBE, Alexandria via LeMat-Bulk).

M_tot (μB/cell): 0.00
Calculated volume (Å³/cell): 354
Raw formation energy (meV per atom): 150
Energy above the lowest structure with this stoichiometry (eV/atom): 0.499

abc: 7.073 7.073 7.073
angles: 90.00 90.00 90.00
Space group Fm-3m (No. 225)
Asymmetric unit:
Cd: 0.000 0.000 0.000 [4 per cell]
Si: 0.000 0.000 0.500 [4 per cell]
Cl: 0.250 0.250 0.250 [8 per cell]

(5)
# CdSi2Cl

A relaxed structure of CdSi2Cl (PBE, Alexandria via LeMat-Bulk).

M_tot (μB/cell): 0.00
Calculated volume (Å³/cell): 311
Raw formation energy (meV per atom): 610
Energy above the lowest structure with this stoichiometry (eV/atom): 0.563

abc: 6.777 6.777 6.777
angles: 90.00 90.00 90.00
Space group Fm-3m (No. 225)
Asymmetric unit:
Cd: 0.000 0.000 0.000 [4 per cell]
Si: 0.250 0.250 0.250 [8 per cell]
Cl: 0.000 0.000 0.500 [4 per cell]

(6)
# CdSi2Cl

A relaxed structure of CdSi2Cl (PBE, Alexandria via LeMat-Bulk).

M_tot (μB/cell): 0.00
Calculated volume (Å³/cell): 199
Raw formation energy (meV per atom): 165
Energy above the lowest structure with this stoichiometry (eV/atom): 0.118

abc: 3.973 13.121 3.818
angles: 90.00 90.00 90.00
Space group Cmmm (No. 65)
Asymmetric unit:
Cd: 0.000 0.000 0.000 [2 per cell]
Si: 0.000 0.204 0.000 [4 per cell]
Cl: 0.000 0.500 0.500 [2 per cell]

(7)
# CdSi2Cl

A relaxed structure of CdSi2Cl (PBE, Alexandria via LeMat-Bulk).

M_tot (μB/cell): 0.00
Calculated volume (Å³/cell): 79
Raw formation energy (meV per atom): 503
Energy above the lowest structure with this stoichiometry (eV/atom): 0.456

abc: 5.186 5.186 2.938
angles: 90.00 90.00 90.00
Space group P4/mmm (No. 123)
Asymmetric unit:
Cd: 0.000 0.000 0.000 [1 per cell]
Si: 0.000 0.500 0.500 [2 per cell]
Cl: 0.500 0.500 0.000 [1 per cell]

(8)
# Sm2CdCl

A relaxed structure of Sm2CdCl (PBE, Alexandria via LeMat-Bulk).

M_tot (μB/cell): 0.00
Calculated volume (Å³/cell): 345
Raw formation energy (meV per atom): -462

abc: 3.4797 3.4797 32.9278
angles: 90.00 90.00 120.00
Space group R-3m (No. 166, hexagonal axes)
Asymmetric unit:
Sm: 0.0000 0.0000 0.0985 [6 per cell]
Cd: 0.0000 0.0000 0.0000 [3 per cell]
Cl: 0.0000 0.0000 0.5000 [3 per cell]

(9)
# SmCd2Cl8

A relaxed structure of SmCd2Cl8 (PBE, Alexandria via LeMat-Bulk).

M_tot (μB/cell): 0.00
Calculated volume (Å³/cell): 615
Raw formation energy (meV per atom): -1255

abc: 6.996 6.996 12.569
angles: 90.00 90.00 90.00
Space group I422 (No. 97)
Asymmetric unit:
Sm: 0.000 0.000 0.000 [2 per cell]
Cd: 0.000 0.500 0.250 [4 per cell]
Cl: 0.181 0.298 0.884 [16 per cell]

(10)
# SmTlCdCl6

A relaxed structure of SmTlCdCl6 (PBE, Alexandria via LeMat-Bulk).

M_tot (μB/cell): 0.00
Calculated volume (Å³/cell): 599
Raw formation energy (meV per atom): -1614

abc: 7.0404 7.0404 13.9651
angles: 90.00 90.00 120.00
Space group P-31c (No. 163)
Asymmetric unit:
Sm: 0.3333 0.6667 0.2500 [2 per cell]
Tl: 0.0000 0.0000 0.0000 [2 per cell]
Cd: 0.3333 0.6667 0.7500 [2 per cell]
Cl: 0.0053 0.3753 0.6401 [12 per cell]

(11)
# Cd3SnCl

A relaxed structure of Cd3SnCl (PBE, Alexandria via LeMat-Bulk).

M_tot (μB/cell): 0.00
Calculated volume (Å³/cell): 174
Raw formation energy (meV per atom): -41
Energy above the lowest structure with this stoichiometry (eV/atom): 0.000

abc: 5.582 5.582 5.582
angles: 90.00 90.00 90.00
Space group Pm-3m (No. 221)
Asymmetric unit:
Cd: 0.000 0.000 0.500 [3 per cell]
Sn: 0.000 0.000 0.000 [1 per cell]
Cl: 0.500 0.500 0.500 [1 per cell]

(12)
# CdSn2Cl8

A relaxed structure of CdSn2Cl8 (PBE, Alexandria via LeMat-Bulk).

M_tot (μB/cell): 0.00
Calculated volume (Å³/cell): 750
Raw formation energy (meV per atom): -880

abc: 13.175 7.769 7.344
angles: 90.00 93.70 90.00
Space group C2/m (No. 12)
Asymmetric unit:
Cd: 0.000 0.000 0.000 [2 per cell]
Sn: 0.111 0.000 0.563 [4 per cell]
Cl: 0.081 0.239 0.780 [8 per cell]
Cl: 0.159 0.000 0.229 [4 per cell]
Cl: 0.212 0.500 0.366 [4 per cell]